Material: HfSbP2Os
Method: DFT, PBE
State: relaxed

Its symmetry is No. 123. The calculation puts the spin magnetization at 0.41 μB/atom. As for the uncorrected formation energy: 2.01 eV/atom.

```
data_HfSbP2Os
_cell_length_a 4.832
_cell_length_b 5.417
_cell_length_c 4.832
_cell_angle_alpha 90.00
_cell_angle_beta 90.00
_cell_angle_gamma 90.00
_space_group_name_H-M_alt 'P 1'
_space_group_IT_number 1
_space_group_name_Hall 'P 1'
loop_
_atom_site_label
_atom_site_fract_x
_atom_site_fract_y
_atom_site_fract_z
Hf1 0.000 0.500 0.000
Os1 0.500 0.500 0.500
P1 0.000 0.000 0.500
P2 0.500 0.000 0.000
Sb1 0.000 0.000 0.000
```